# 1
Computed, not measured: a relaxed structure of LiNb2PPd at the PBE level of DFT.

The structure in CIF format:
```
data_LiNb2PPd
_cell_length_a 4.473
_cell_length_b 4.473
_cell_length_c 3.880
_cell_angle_alpha 90.00
_cell_angle_beta 90.00
_cell_angle_gamma 90.00
_symmetry_space_group_name_H-M 'P 1'
_symmetry_Int_Tables_number 1
loop_
_symmetry_equiv_pos_as_xyz
'x,y,z'
loop_
_atom_site_label
_atom_site_type_symbol
_atom_site_fract_x
_atom_site_fract_y
_atom_site_fract_z
Li1 Li 0.000 0.000 0.000
Nb1 Nb 0.000 0.500 0.000
Nb2 Nb 0.500 0.000 0.000
P1 P 0.000 0.000 0.500
Pd1 Pd 0.500 0.500 0.500
```

- uncorrected energy (eV per cell) = -29.7
- total magnetization (μB/f.u.) = 0.00
- Fermi-level density of states (states/eV/f.u.) = 3.7
- DFT formation energy (eV/f.u.) = 2.97

# 2
Computed, not measured: a relaxed structure of KInIr2 at the PBE level of DFT.

The structure in CIF format:
```
data_KInIr2
_cell_length_a 9.932
_cell_length_b 9.932
_cell_length_c 9.932
_cell_angle_alpha 17.54
_cell_angle_beta 17.54
_cell_angle_gamma 17.54
_symmetry_space_group_name_H-M 'P 1'
_symmetry_Int_Tables_number 1
loop_
_symmetry_equiv_pos_as_xyz
'x,y,z'
loop_
_atom_site_label
_atom_site_type_symbol
_atom_site_fract_x
_atom_site_fract_y
_atom_site_fract_z
K1 K 0.000 0.000 0.000
In1 In 0.500 0.500 0.500
Ir1 Ir 0.238 0.238 0.238
Ir2 Ir 0.762 0.762 0.762
```

- uncorrected energy (eV per cell) = -19.4
- total magnetization (μB/f.u.) = 0.32
- Fermi-level density of states (states/eV/f.u.) = 4.5
- DFT formation energy (eV/f.u.) = 2.14

# 3
Computed, not measured: a relaxed structure of Rb4Br3O2 at the PBE level of DFT.

The structure in CIF format:
```
data_Rb4Br3O2
_cell_length_a 9.347
_cell_length_b 9.347
_cell_length_c 9.240
_cell_angle_alpha 94.98
_cell_angle_beta 94.98
_cell_angle_gamma 56.25
_symmetry_space_group_name_H-M 'P 1'
_symmetry_Int_Tables_number 1
loop_
_symmetry_equiv_pos_as_xyz
'x,y,z'
loop_
_atom_site_label
_atom_site_type_symbol
_atom_site_fract_x
_atom_site_fract_y
_atom_site_fract_z
Rb1 Rb 0.173 0.722 0.967
Rb2 Rb 0.255 0.301 0.673
Rb3 Rb 0.278 0.827 0.533
Rb4 Rb 0.301 0.255 0.173
Rb5 Rb 0.699 0.745 0.827
Rb6 Rb 0.722 0.173 0.467
Rb7 Rb 0.745 0.699 0.327
Rb8 Rb 0.827 0.278 0.033
Br1 Br 0.020 0.246 0.390
Br2 Br 0.246 0.020 0.890
Br3 Br 0.466 0.534 0.250
Br4 Br 0.534 0.466 0.750
Br5 Br 0.754 0.980 0.110
Br6 Br 0.980 0.754 0.610
O1 O 0.050 0.497 0.950
O2 O 0.497 0.050 0.450
O3 O 0.503 0.950 0.550
O4 O 0.950 0.503 0.050
```

- raw formation energy (eV/f.u.) = -12.675
- uncorrected energy (eV per cell) = -63.0
- total magnetization (μB/f.u.) = 1.00
- Fermi-level density of states (states/eV/f.u.) = 1.0

# 4
Computed, not measured: a relaxed structure of La2ZnInCo at the PBE level of DFT.

The structure in CIF format:
```
data_La2ZnInCo
_cell_length_a 5.216
_cell_length_b 5.216
_cell_length_c 4.990
_cell_angle_alpha 90.00
_cell_angle_beta 90.00
_cell_angle_gamma 90.00
_symmetry_space_group_name_H-M 'P 1'
_symmetry_Int_Tables_number 1
loop_
_symmetry_equiv_pos_as_xyz
'x,y,z'
loop_
_atom_site_label
_atom_site_type_symbol
_atom_site_fract_x
_atom_site_fract_y
_atom_site_fract_z
La1 La 0.000 0.500 0.000
La2 La 0.500 0.000 0.000
Zn1 Zn 0.000 0.000 0.500
In1 In 0.500 0.500 0.500
Co1 Co 0.500 0.500 0.000
```

- excess energy over the best structure of this formula in the dataset (meV/atom) = 57
- uncorrected energy (eV per cell) = -22.1
- total magnetization (μB/f.u.) = 0.00
- Fermi-level density of states (states/eV/f.u.) = 5.2
- DFT formation energy (eV/f.u.) = -1.10

# 5
Computed, not measured: a relaxed structure of PaInFe2 at the PBE level of DFT.

The structure in CIF format:
```
data_PaInFe2
_cell_length_a 4.568
_cell_length_b 4.568
_cell_length_c 4.568
_cell_angle_alpha 60.00
_cell_angle_beta 60.00
_cell_angle_gamma 60.00
_symmetry_space_group_name_H-M 'P 1'
_symmetry_Int_Tables_number 1
loop_
_symmetry_equiv_pos_as_xyz
'x,y,z'
loop_
_atom_site_label
_atom_site_type_symbol
_atom_site_fract_x
_atom_site_fract_y
_atom_site_fract_z
Pa1 Pa 0.000 0.000 0.000
In1 In 0.500 0.500 0.500
Fe1 Fe 0.250 0.250 0.250
Fe2 Fe 0.750 0.750 0.750
```

- uncorrected energy (eV per cell) = -29.1
- total magnetization (μB/f.u.) = 0.25
- Fermi-level density of states (states/eV/f.u.) = 2.6
- DFT formation energy (eV/f.u.) = 0.11

# 6
Computed, not measured: a relaxed structure of La4GaAg3 at the PBE level of DFT.

The structure in CIF format:
```
data_La4GaAg3
_cell_length_a 3.778
_cell_length_b 3.778
_cell_length_c 15.520
_cell_angle_alpha 90.00
_cell_angle_beta 90.00
_cell_angle_gamma 90.00
_symmetry_space_group_name_H-M 'P 1'
_symmetry_Int_Tables_number 1
loop_
_symmetry_equiv_pos_as_xyz
'x,y,z'
loop_
_atom_site_label
_atom_site_type_symbol
_atom_site_fract_x
_atom_site_fract_y
_atom_site_fract_z
La1 La 0.000 0.000 0.120
La2 La 0.000 0.000 0.373
La3 La 0.000 0.000 0.627
La4 La 0.000 0.000 0.880
Ga1 Ga 0.500 0.500 0.000
Ag1 Ag 0.500 0.500 0.249
Ag2 Ag 0.500 0.500 0.500
Ag3 Ag 0.500 0.500 0.751
```

- uncorrected energy (eV per cell) = -34.0
- total magnetization (μB/f.u.) = 0.02
- Fermi-level density of states (states/eV/f.u.) = 8.1
- DFT formation energy (eV/f.u.) = -2.71

# 7
Computed, not measured: a relaxed structure of AlCr2In at the PBE level of DFT.

The structure in CIF format:
```
data_AlCr2In
_cell_length_a 5.018
_cell_length_b 5.018
_cell_length_c 5.018
_cell_angle_alpha 134.98
_cell_angle_beta 134.98
_cell_angle_gamma 65.57
_symmetry_space_group_name_H-M 'P 1'
_symmetry_Int_Tables_number 1
loop_
_symmetry_equiv_pos_as_xyz
'x,y,z'
loop_
_atom_site_label
_atom_site_type_symbol
_atom_site_fract_x
_atom_site_fract_y
_atom_site_fract_z
Al1 Al 0.000 0.000 0.000
Cr1 Cr 0.250 0.750 0.500
Cr2 Cr 0.500 0.500 0.000
In1 In 0.750 0.250 0.500
```

- uncorrected energy (eV per cell) = -24.2
- total magnetization (μB/f.u.) = 3.76
- Fermi-level density of states (states/eV/f.u.) = 4.7
- DFT formation energy (eV/f.u.) = 1.52

# 8
Computed, not measured: a relaxed structure of K2RuBr at the PBE level of DFT.

The structure in CIF format:
```
data_K2RuBr
_cell_length_a 5.631
_cell_length_b 5.631
_cell_length_c 5.631
_cell_angle_alpha 60.00
_cell_angle_beta 60.00
_cell_angle_gamma 60.00
_symmetry_space_group_name_H-M 'P 1'
_symmetry_Int_Tables_number 1
loop_
_symmetry_equiv_pos_as_xyz
'x,y,z'
loop_
_atom_site_label
_atom_site_type_symbol
_atom_site_fract_x
_atom_site_fract_y
_atom_site_fract_z
K1 K 0.000 0.000 0.000
K2 K 0.250 0.250 0.250
Ru1 Ru 0.750 0.750 0.750
Br1 Br 0.500 0.500 0.500
```

- raw formation energy (eV/f.u.) = 2.339
- excess energy over the best structure of this formula in the dataset (meV/atom) = 396
- uncorrected energy (eV per cell) = -10.8
- total magnetization (μB/f.u.) = 3.01
- Fermi-level density of states (states/eV/f.u.) = 3.7

# 9
Computed, not measured: a relaxed structure of LiScOs2 at the PBE level of DFT.

The structure in CIF format:
```
data_LiScOs2
_cell_length_a 4.956
_cell_length_b 4.956
_cell_length_c 2.852
_cell_angle_alpha 90.00
_cell_angle_beta 90.00
_cell_angle_gamma 117.96
_symmetry_space_group_name_H-M 'P 1'
_symmetry_Int_Tables_number 1
loop_
_symmetry_equiv_pos_as_xyz
'x,y,z'
loop_
_atom_site_label
_atom_site_type_symbol
_atom_site_fract_x
_atom_site_fract_y
_atom_site_fract_z
Li1 Li 0.000 0.000 0.000
Sc1 Sc 0.500 0.500 0.000
Os1 Os 0.000 0.500 0.500
Os2 Os 0.500 0.000 0.500
```

- excess energy over the best structure of this formula in the dataset (meV/atom) = 216
- uncorrected energy (eV per cell) = -30.0
- total magnetization (μB/f.u.) = 0.00
- Fermi-level density of states (states/eV/f.u.) = 2.3
- DFT formation energy (eV/f.u.) = 0.73

# 10
Computed, not measured: a relaxed structure of In4GaBi at the PBE level of DFT.

The structure in CIF format:
```
data_In4GaBi
_cell_length_a 6.245
_cell_length_b 6.245
_cell_length_c 6.245
_cell_angle_alpha 60.00
_cell_angle_beta 60.00
_cell_angle_gamma 60.00
_symmetry_space_group_name_H-M 'P 1'
_symmetry_Int_Tables_number 1
loop_
_symmetry_equiv_pos_as_xyz
'x,y,z'
loop_
_atom_site_label
_atom_site_type_symbol
_atom_site_fract_x
_atom_site_fract_y
_atom_site_fract_z
In1 In 0.125 0.125 0.125
In2 In 0.125 0.125 0.625
In3 In 0.125 0.625 0.125
In4 In 0.625 0.125 0.125
Ga1 Ga 0.750 0.750 0.750
Bi1 Bi 0.500 0.500 0.500
```

- excess energy over the best structure of this formula in the dataset (meV/atom) = 110
- uncorrected energy (eV per cell) = -16.9
- total magnetization (μB/f.u.) = 0.00
- Fermi-level density of states (states/eV/f.u.) = 3.5
- DFT formation energy (eV/f.u.) = 0.99

# 11
Computed, not measured: a relaxed structure of RePtN4Cl6 at the PBE level of DFT.

The structure in CIF format:
```
data_RePtN4Cl6
_cell_length_a 8.243
_cell_length_b 8.243
_cell_length_c 9.420
_cell_angle_alpha 90.00
_cell_angle_beta 90.00
_cell_angle_gamma 86.74
_symmetry_space_group_name_H-M 'P 1'
_symmetry_Int_Tables_number 1
loop_
_symmetry_equiv_pos_as_xyz
'x,y,z'
loop_
_atom_site_label
_atom_site_type_symbol
_atom_site_fract_x
_atom_site_fract_y
_atom_site_fract_z
Re1 Re 0.000 0.000 0.000
Re2 Re 0.500 0.500 0.500
Pt1 Pt 0.000 0.000 0.500
Pt2 Pt 0.500 0.500 0.000
N1 N 0.060 0.150 0.349
N2 N 0.150 0.060 0.651
N3 N 0.350 0.440 0.151
N4 N 0.440 0.350 0.849
N5 N 0.560 0.650 0.151
N6 N 0.650 0.560 0.849
N7 N 0.850 0.940 0.349
N8 N 0.940 0.850 0.651
Cl1 Cl 0.001 0.270 0.938
Cl2 Cl 0.092 0.908 0.760
Cl3 Cl 0.230 0.499 0.562
Cl4 Cl 0.270 0.001 0.062
Cl5 Cl 0.408 0.592 0.260
Cl6 Cl 0.499 0.230 0.438
Cl7 Cl 0.501 0.770 0.562
Cl8 Cl 0.592 0.408 0.740
Cl9 Cl 0.730 0.999 0.938
Cl10 Cl 0.770 0.501 0.438
Cl11 Cl 0.908 0.092 0.240
Cl12 Cl 0.999 0.730 0.062
```

- raw formation energy (eV/f.u.) = 11.073
- uncorrected energy (eV per cell) = -103.6
- total magnetization (μB/f.u.) = 3.08
- Fermi-level density of states (states/eV/f.u.) = 6.6

# 12
Computed, not measured: a relaxed structure of KMo3Ru at the PBE level of DFT.

The structure in CIF format:
```
data_KMo3Ru
_cell_length_a 4.869
_cell_length_b 4.869
_cell_length_c 4.869
_cell_angle_alpha 90.00
_cell_angle_beta 90.00
_cell_angle_gamma 90.00
_symmetry_space_group_name_H-M 'P 1'
_symmetry_Int_Tables_number 1
loop_
_symmetry_equiv_pos_as_xyz
'x,y,z'
loop_
_atom_site_label
_atom_site_type_symbol
_atom_site_fract_x
_atom_site_fract_y
_atom_site_fract_z
K1 K 0.000 0.000 0.000
Mo1 Mo 0.000 0.500 0.500
Mo2 Mo 0.500 0.000 0.500
Mo3 Mo 0.500 0.500 0.000
Ru1 Ru 0.500 0.500 0.500
```

- excess energy over the best structure of this formula in the dataset (meV/atom) = 0
- uncorrected energy (eV per cell) = -34.3
- total magnetization (μB/f.u.) = 3.55
- Fermi-level density of states (states/eV/f.u.) = 5.2
- DFT formation energy (eV/f.u.) = 8.55

# 13
Computed, not measured: a relaxed structure of Al2GeC at the PBE level of DFT.

The structure in CIF format:
```
data_Al2GeC
_cell_length_a 5.968
_cell_length_b 5.968
_cell_length_c 5.968
_cell_angle_alpha 125.29
_cell_angle_beta 125.29
_cell_angle_gamma 81.05
_symmetry_space_group_name_H-M 'P 1'
_symmetry_Int_Tables_number 1
loop_
_symmetry_equiv_pos_as_xyz
'x,y,z'
loop_
_atom_site_label
_atom_site_type_symbol
_atom_site_fract_x
_atom_site_fract_y
_atom_site_fract_z
Al1 Al 0.024 0.625 0.899
Al2 Al 0.375 0.274 0.399
Al3 Al 0.726 0.125 0.101
Al4 Al 0.875 0.976 0.601
Ge1 Ge 0.250 0.750 0.500
Ge2 Ge 0.500 0.500 0.000
C1 C 0.000 0.000 0.000
C2 C 0.750 0.250 0.500
```

- excess energy over the best structure of this formula in the dataset (meV/atom) = 0
- uncorrected energy (eV per cell) = -40.4
- total magnetization (μB/f.u.) = 0.00
- Fermi-level density of states (states/eV/f.u.) = 0.2
- DFT formation energy (eV/f.u.) = 1.10

# 14
Computed, not measured: a relaxed structure of KTaIN2 at the PBE level of DFT.

The structure in CIF format:
```
data_KTaIN2
_cell_length_a 4.310
_cell_length_b 4.310
_cell_length_c 5.629
_cell_angle_alpha 90.00
_cell_angle_beta 90.00
_cell_angle_gamma 90.00
_symmetry_space_group_name_H-M 'P 1'
_symmetry_Int_Tables_number 1
loop_
_symmetry_equiv_pos_as_xyz
'x,y,z'
loop_
_atom_site_label
_atom_site_type_symbol
_atom_site_fract_x
_atom_site_fract_y
_atom_site_fract_z
K1 K 0.000 0.000 0.000
Ta1 Ta 0.500 0.500 0.500
I1 I 0.000 0.000 0.500
N1 N 0.000 0.500 0.000
N2 N 0.500 0.000 0.000
```

- raw formation energy (eV/f.u.) = 14.631
- excess energy over the best structure of this formula in the dataset (meV/atom) = 2970
- uncorrected energy (eV per cell) = -16.5
- total magnetization (μB/f.u.) = 0.00
- Fermi-level density of states (states/eV/f.u.) = 5.7

# 15
Computed, not measured: a relaxed structure of NbCuO at the PBE level of DFT.

The structure in CIF format:
```
data_NbCuO
_cell_length_a 3.394
_cell_length_b 3.394
_cell_length_c 9.363
_cell_angle_alpha 103.31
_cell_angle_beta 103.31
_cell_angle_gamma 59.88
_symmetry_space_group_name_H-M 'P 1'
_symmetry_Int_Tables_number 1
loop_
_symmetry_equiv_pos_as_xyz
'x,y,z'
loop_
_atom_site_label
_atom_site_type_symbol
_atom_site_fract_x
_atom_site_fract_y
_atom_site_fract_z
Nb1 Nb 0.000 0.000 0.000
Nb2 Nb 0.234 0.234 0.764
Cu1 Cu 0.361 0.361 0.273
Cu2 Cu 0.764 0.764 0.431
O1 O 0.334 0.334 0.001
O2 O 0.851 0.851 0.645
```

- raw formation energy (eV/f.u.) = -2.125
- uncorrected energy (eV per cell) = -42.5
- total magnetization (μB/f.u.) = 0.00
- Fermi-level density of states (states/eV/f.u.) = 0.5

# 16
Computed, not measured: a relaxed structure of PtAuSe2 at the PBE level of DFT.

The structure in CIF format:
```
data_PtAuSe2
_cell_length_a 4.186
_cell_length_b 4.186
_cell_length_c 4.187
_cell_angle_alpha 90.00
_cell_angle_beta 90.00
_cell_angle_gamma 90.00
_symmetry_space_group_name_H-M 'P 1'
_symmetry_Int_Tables_number 1
loop_
_symmetry_equiv_pos_as_xyz
'x,y,z'
loop_
_atom_site_label
_atom_site_type_symbol
_atom_site_fract_x
_atom_site_fract_y
_atom_site_fract_z
Pt1 Pt 0.000 0.000 0.000
Au1 Au 0.500 0.500 0.000
Se1 Se 0.000 0.500 0.500
Se2 Se 0.500 0.000 0.500
```

- raw formation energy (eV/f.u.) = 1.620
- uncorrected energy (eV per cell) = -14.7
- total magnetization (μB/f.u.) = 0.00
- Fermi-level density of states (states/eV/f.u.) = 2.4